VASP calculation (PBE) on an optimized crystal structure of LaZrAu2.

The structure in CIF format:
```
data_LaZrAu2
_chemical_formula_sum 'La3 Zr3 Au6'
_cell_length_a 3.5573
_cell_length_b 3.5573
_cell_length_c 27.2778
_cell_angle_alpha 90.00
_cell_angle_beta 90.00
_cell_angle_gamma 120.00
_space_group_name_H-M_alt 'R 3 m'
_space_group_IT_number 160
_space_group_name_Hall 'R 3 -2"'
loop_
_atom_site_label
_atom_site_type_symbol
_atom_site_fract_x
_atom_site_fract_y
_atom_site_fract_z
La1 La 0.0000 0.0000 0.0000
Zr1 Zr 0.0000 0.0000 0.2326
Au1 Au 0.0000 0.0000 0.4936
Au2 Au 0.0000 0.0000 0.7521
```

## Properties
* energy of formation from the pure elements: -139 meV per atom
* total moment: 0.0 μB/f.u.